a) Here is a crystal of LiSeS2 relaxed with PBEsol from the Alexandria database. Energies are from SCAN.

abc: 7.5339 7.5339 7.5339
angles: 139.77 139.77 58.20
Element x y z (fractional)
1 Li 0.0000 0.0000 0.0000
2 Li 0.7500 0.2500 0.5000
3 Se 0.2500 0.7500 0.5000
4 Se 0.5000 0.5000 0.0000
5 S 0.1374 0.6250 0.0124
6 S 0.3750 0.3874 0.5124
7 S 0.6126 0.1250 0.9876
8 S 0.8750 0.8626 0.4876

Summary:
- Calculated density: 2.82 g cm⁻³

b) Here is a crystal of LiSeS2 relaxed with PBEsol from the Alexandria database. Energies are from SCAN.

abc: 8.2826 8.2826 8.2826
angles: 21.89 21.89 21.89
Element x y z (fractional)
1 Li 0.0000 0.0000 0.0000
2 Se 0.5000 0.5000 0.5000
3 S 0.4030 0.4030 0.4030
4 S 0.5970 0.5970 0.5970

Summary:
- Calculated density: 3.60 g cm⁻³

c) Here is a crystal of LiSeS2 relaxed with PBEsol from the Alexandria database. Energies are from SCAN.

abc: 7.4108 7.4108 7.4108
angles: 30.74 30.74 30.74
Element x y z (fractional)
1 Li 0.0000 0.0000 0.0000
2 Se 0.5000 0.5000 0.5000
3 S 0.1081 0.1081 0.1081
4 S 0.8919 0.8919 0.8919

Summary:
- Calculated density: 2.64 g cm⁻³

Most stable pick: a). Distance to second place: 0.133 eV/atom.

a) Here is a crystal of Li8TiS6 relaxed with PBEsol from the Alexandria database. Energies are from SCAN.

abc: 6.8067 6.8067 13.3019
angles: 90.00 90.00 120.00
Element x y z (fractional)
1 Li 0.0000 0.3182 0.0000
2 Li 0.0000 0.3770 0.6363
3 Li 0.0000 0.6230 0.1363
4 Li 0.0000 0.6818 0.5000
5 Li 0.3182 0.0000 0.0000
6 Li 0.3182 0.3182 0.5000
7 Li 0.3333 0.6667 0.3657
8 Li 0.3333 0.6667 0.8657
9 Li 0.3770 0.0000 0.6363
10 Li 0.3770 0.3770 0.1363
11 Li 0.6230 0.0000 0.1363
12 Li 0.6230 0.6230 0.6363
13 Li 0.6667 0.3333 0.3657
14 Li 0.6667 0.3333 0.8657
15 Li 0.6818 0.0000 0.5000
16 Li 0.6818 0.6818 0.0000
17 Ti 0.0000 0.0000 0.2685
18 Ti 0.0000 0.0000 0.7685
19 S 0.0000 0.0000 0.0962
20 S 0.0000 0.0000 0.5962
21 S 0.0000 0.3153 0.8164
22 S 0.0000 0.6847 0.3164
23 S 0.3153 0.0000 0.8164
24 S 0.3153 0.3153 0.3164
25 S 0.3333 0.6667 0.0500
26 S 0.3333 0.6667 0.5500
27 S 0.6667 0.3333 0.0500
28 S 0.6667 0.3333 0.5500
29 S 0.6847 0.0000 0.3164
30 S 0.6847 0.6847 0.8164

Summary:
- Calculated density: 1.84 g cm⁻³

b) Here is a crystal of Li8TiS6 relaxed with PBEsol from the Alexandria database. Energies are from SCAN.

abc: 7.1325 7.1325 7.1325
angles: 55.37 55.37 55.37
Element x y z (fractional)
1 Li 0.0191 0.7282 0.3935
2 Li 0.1631 0.1631 0.1631
3 Li 0.2718 0.6065 0.9809
4 Li 0.3935 0.0191 0.7282
5 Li 0.6065 0.9809 0.2718
6 Li 0.7282 0.3935 0.0191
7 Li 0.8369 0.8369 0.8369
8 Li 0.9809 0.2718 0.6065
9 Ti 0.5000 0.5000 0.5000
10 S 0.1199 0.4143 0.7364
11 S 0.2636 0.8801 0.5857
12 S 0.4143 0.7364 0.1199
13 S 0.5857 0.2636 0.8801
14 S 0.7364 0.1199 0.4143
15 S 0.8801 0.5857 0.2636

Summary:
- Calculated density: 2.15 g cm⁻³

Most stable pick: a). Distance to second place: 0.029 eV/atom.

a) Here is a crystal of LiSb relaxed with PBEsol from the Alexandria database. Energies are from SCAN.

abc: 5.4919 5.4919 4.0269
angles: 90.00 90.00 133.79
Element x y z (fractional)
1 Li 0.1036 0.8964 0.7500
2 Li 0.8964 0.1036 0.2500
3 Sb 0.3927 0.6073 0.7500
4 Sb 0.6073 0.3927 0.2500

Summary:
- Calculated density: 4.87 g cm⁻³

b) Here is a crystal of LiSb relaxed with PBEsol from the Alexandria database. Energies are from SCAN.

abc: 5.5116 5.5116 8.6310
angles: 114.92 114.92 33.51
Element x y z (fractional)
1 Li 0.0000 0.0000 0.0000
2 Li 0.6035 0.6035 0.6923
3 Li 0.7739 0.7739 0.3278
4 Sb 0.0572 0.0572 0.3646
5 Sb 0.2740 0.2740 0.0168
6 Sb 0.3318 0.3318 0.6750

Summary:
- Calculated density: 4.93 g cm⁻³

Most stable pick: b). Distance to second place: 0.026 eV/atom.

a) Here is a crystal of Li2SbSe relaxed with PBEsol from the Alexandria database. Energies are from SCAN.

abc: 5.2554 5.2554 5.2554
angles: 139.96 122.95 71.97
Element x y z (fractional)
1 Li 0.2201 0.2201 0.0000
2 Li 0.7799 0.7799 0.0000
3 Sb 0.5000 0.0000 0.5000
4 Se 0.0000 0.5000 0.5000

Summary:
- Calculated density: 4.64 g cm⁻³

b) Here is a crystal of Li2SbSe relaxed with PBEsol from the Alexandria database. Energies are from SCAN.

abc: 4.8963 4.8963 4.8963
angles: 60.00 60.00 60.00
Element x y z (fractional)
1 Li 0.0000 0.0000 0.0000
2 Li 0.2500 0.2500 0.2500
3 Sb 0.7500 0.7500 0.7500
4 Se 0.5000 0.5000 0.5000

Summary:
- Calculated density: 4.29 g cm⁻³

Most stable pick: a). Distance to second place: 0.410 eV/atom.